First-principles (GGA-PBE) data for crystalline Dy2Ga4NiPd at its relaxed geometry, as listed in OQMD via LeMat-Bulk.

Summary:
Mass density ... 8.63 g/cm³

Cell: 6.3691 7.1560 7.1560 Å, 26.97 90.00 90.00°
Element x y z (fractional)
Dy1 0.5000 0.2612 0.2612
Ga1 0.7093 0.9083 0.9083
Dy2 0.0000 0.7377 0.7377
Ga2 0.7740 0.0926 0.0926
Ni1 0.5000 0.5300 0.5300
Ga3 0.2907 0.9083 0.9083
Pd1 0.0000 0.4692 0.4692
Ga4 0.2260 0.0926 0.0926

First-principles (GGA-PBE) data for crystalline LuSiNiW at its relaxed geometry, as listed in OQMD via LeMat-Bulk.

Summary:
Mass density ... 11.23 g/cm³

Cell: 4.5338 4.5338 4.5338 Å, 60.00 60.00 60.00°
Element x y z (fractional)
Ni1 0.7500 0.7500 0.7500
Lu1 0.2500 0.2500 0.2500
W1 0.5000 0.5000 0.5000
Si1 0.0000 0.0000 0.0000

First-principles (GGA-PBE) data for crystalline CsCuSiTe2S at its relaxed geometry, as listed in OQMD via LeMat-Bulk.

Summary:
Mass density ... 4.99 g/cm³

Cell: 8.6386 8.6386 10.6766 Å, 90.00 90.00 154.69°
Element x y z (fractional)
Cs1 0.2709 0.7291 0.2500
Cu1 0.4665 0.5335 0.7500
S1 0.0422 0.9578 0.7500
Cu2 0.5335 0.4665 0.2500
Te1 0.3864 0.6136 0.5422
Cs2 0.7291 0.2709 0.7500
Te2 0.6136 0.3864 0.0422
S2 0.9578 0.0422 0.2500
Te3 0.3864 0.6136 0.9578
Te4 0.6136 0.3864 0.4578
Si1 0.0000 0.0000 0.5000
Si2 0.0000 0.0000 0.0000

First-principles (GGA-PBE) data for crystalline Na2ZnAg at its relaxed geometry, as listed in OQMD via LeMat-Bulk.

Summary:
Mass density ... 4.29 g/cm³

Cell: 4.9340 4.9340 4.9340 Å, 60.00 60.00 60.00°
Element x y z (fractional)
Na1 0.7500 0.7500 0.7500
Na2 0.0000 0.0000 0.0000
Ag1 0.2500 0.2500 0.2500
Zn1 0.5000 0.5000 0.5000

First-principles (GGA-PBE) data for crystalline YHg3Br6 at its relaxed geometry, as listed in OQMD via LeMat-Bulk.

Summary:
Mass density ... 5.65 g/cm³

Cell: 7.8636 7.8636 7.8636 Å, 60.00 60.00 60.00°
Element x y z (fractional)
Hg1 0.7500 0.7500 0.7500
Br1 0.2492 0.7508 0.7508
Br2 0.2492 0.2492 0.7508
Br3 0.7508 0.2492 0.2492
Hg2 0.5000 0.5000 0.5000
Br4 0.2492 0.7508 0.2492
Br5 0.7508 0.2492 0.7508
Hg3 0.2500 0.2500 0.2500
Br6 0.7508 0.7508 0.2492
Y1 0.0000 0.0000 0.0000

First-principles (GGA-PBE) data for crystalline MgPaNi at its relaxed geometry, as listed in OQMD via LeMat-Bulk.

Summary:
Mass density ... 8.12 g/cm³

Cell: 4.4952 4.4952 4.4952 Å, 60.00 60.00 60.00°
Element x y z (fractional)
Pa1 0.5000 0.5000 0.5000
Mg1 0.0000 0.0000 0.0000
Ni1 0.2500 0.2500 0.2500

First-principles (GGA-PBE) data for crystalline PrSiO3 at its relaxed geometry, as listed in OQMD via LeMat-Bulk.

Summary:
Mass density ... 5.80 g/cm³

Cell: 5.8208 6.6722 4.7640 Å, 64.18 63.02 50.48°
Element x y z (fractional)
O1 0.2455 0.5802 0.4155
O2 0.1619 0.1967 0.8854
O3 0.8161 0.8615 0.0802
Pr1 0.7400 0.7414 0.7382
O4 0.6667 0.3402 0.7795
O5 0.7538 0.1315 0.3485
O6 0.2676 0.8937 0.6498
Si1 0.9705 0.0493 0.9516
Si2 0.6051 0.4403 0.4056
Pr2 0.2728 0.2654 0.2456

First-principles (GGA-PBE) data for crystalline Pr2Y2CI3Cl2 at its relaxed geometry, as listed in OQMD via LeMat-Bulk.

Summary:
Mass density ... 4.69 g/cm³

Cell: 9.5420 9.5420 8.8971 Å, 100.06 100.06 24.19°
Element x y z (fractional)
Y1 0.3681 0.3681 0.9396
I1 0.8230 0.8230 0.1744
Y2 0.6319 0.6319 0.0604
Pr1 0.9987 0.9987 0.1962
I2 0.5000 0.5000 0.5000
Cl1 0.1551 0.1551 0.2750
C1 0.5000 0.5000 0.0000
Pr2 0.0013 0.0013 0.8038
I3 0.1770 0.1770 0.8256
Cl2 0.8449 0.8449 0.7250

First-principles (GGA-PBE) data for crystalline GdYW at its relaxed geometry, as listed in OQMD via LeMat-Bulk.

Summary:
Mass density ... 8.49 g/cm³
Calculated formation energy ... 1.4679 eV/atom

Cell: 4.9173 4.9173 4.9173 Å, 60.00 60.00 60.00°
Element x y z (fractional)
Y1 0.7500 0.7500 0.7500
W1 0.2500 0.2500 0.2500
Gd1 0.0000 0.0000 0.0000

First-principles (GGA-PBE) data for crystalline Pm2Ga3Au at its relaxed geometry, as listed in OQMD via LeMat-Bulk.

Summary:
Mass density ... 8.68 g/cm³

Cell: 8.9442 8.6542 5.8927 Å, 73.12 67.80 39.08°
Element x y z (fractional)
Pm1 0.2500 0.2500 0.2500
Ga1 0.1637 0.6715 0.3285
Pm2 0.2589 0.7411 0.7411
Ga2 0.1627 0.1627 0.8373
Ga3 0.8363 0.3285 0.6715
Ga4 0.3285 0.8363 0.1637
Au1 0.6690 0.6690 0.3310
Pm3 0.7500 0.7500 0.7500
Ga5 0.6715 0.1637 0.8363
Au2 0.3310 0.3310 0.6690
Ga6 0.8373 0.8373 0.1627
Pm4 0.7411 0.2589 0.2589

First-principles (GGA-PBE) data for crystalline KBIr at its relaxed geometry, as listed in OQMD via LeMat-Bulk.

Summary:
Mass density ... 5.09 g/cm³

Cell: 3.9775 3.9775 9.9904 Å, 90.00 90.00 90.00°
Element x y z (fractional)
K1 0.0000 0.5000 0.7845
Ir1 0.5000 0.5000 0.5000
B1 0.0000 0.5000 0.4308
B2 0.5000 0.0000 0.5692
Ir2 0.0000 0.0000 0.5000
K2 0.5000 0.0000 0.2155

First-principles (GGA-PBE) data for crystalline CsHfS3 at its relaxed geometry, as listed in OQMD via LeMat-Bulk.

Summary:
Mass density ... 4.37 g/cm³

Cell: 9.7830 9.7830 6.4943 Å, 91.16 91.16 93.96°
Element x y z (fractional)
S1 0.5814 0.2838 0.1605
S2 0.0420 0.1769 0.4312
Cs1 0.7662 0.5707 0.8557
S3 0.9310 0.2892 0.9403
S4 0.1769 0.0420 0.9312
Hf1 0.1866 0.8134 0.7500
S5 0.9580 0.8231 0.5688
S6 0.2838 0.5814 0.6605
Hf2 0.8134 0.1866 0.2500
S7 0.7108 0.0690 0.5597
S8 0.4186 0.7162 0.8395
Cs2 0.2338 0.4293 0.1443
S9 0.7162 0.4186 0.3395
S10 0.2892 0.9310 0.4403
S11 0.0690 0.7108 0.0597
Hf3 0.0730 0.9270 0.2500
Cs3 0.4293 0.2338 0.6443
Hf4 0.9270 0.0730 0.7500
Cs4 0.5707 0.7662 0.3557
S12 0.8231 0.9580 0.0688

no.,electronic total energy (eV/atom)
1,-4.506
2,-6.549
3,-3.667
4,-1.660
5,-2.460
6,-5.460
7,-7.664
8,-5.351
9,-6.559
10,-4.365
11,-5.749
12,-6.034